A plane-wave DFT calculation with PBE was carried out for a relaxed LaMg2Ag crystal.

Results
Formation energy from the elements = -144.1 meV/atom

Unit cell a=3.438 b=3.438 c=8.272 alpha=90.00 beta=90.00 gamma=90.00
Positions (direct):
Ag  0.500  0.500  0.250
La  0.500  0.500  0.750
Mg  0.000  0.000  0.058
Mg  0.000  0.000  0.442


A plane-wave DFT calculation with PBE was carried out for a relaxed LaMg2Ag crystal.

Results
Formation energy from the elements = 2.3 meV/atom

Unit cell a=10.476 b=10.476 c=10.476 alpha=18.33 beta=18.33 gamma=18.33
Positions (direct):
Ag  0.250  0.250  0.250
La  0.750  0.750  0.750
Mg  0.987  0.987  0.987
Mg  0.513  0.513  0.513


A plane-wave DFT calculation with PBE was carried out for a relaxed La2MgAg4 crystal.

Results
Formation energy from the elements = -164.0 meV/atom

Unit cell a=4.549 b=5.216 c=7.435 alpha=90.32 beta=90.00 gamma=90.00
Positions (direct):
La  0.500  0.253  0.335
La  0.500  0.747  0.665
Mg  0.000  0.500  0.000
Ag  0.500  0.762  0.101
Ag  0.000  0.754  0.361
Ag  0.500  0.238  0.899
Ag  0.000  0.246  0.639


A plane-wave DFT calculation with PBE was carried out for a relaxed LaMg3Ag crystal.

Results
Formation energy from the elements = -158.0 meV/atom

Unit cell a=4.417 b=9.315 c=12.317 alpha=90.00 beta=90.00 gamma=90.00
Positions (direct):
La  0.750  0.835  0.993
La  0.250  0.665  0.493
La  0.750  0.335  0.507
La  0.250  0.165  0.007
Mg  0.250  0.555  0.084
Mg  0.750  0.445  0.916
Mg  0.250  0.055  0.416
Mg  0.750  0.945  0.584
Mg  0.250  0.400  0.730
Mg  0.750  0.100  0.230
Mg  0.250  0.900  0.770
Mg  0.750  0.648  0.714
Mg  0.250  0.352  0.286
Mg  0.750  0.148  0.786
Mg  0.750  0.600  0.270
Mg  0.250  0.852  0.214
Ag  0.250  0.133  0.633
Ag  0.250  0.633  0.867
Ag  0.750  0.367  0.133
Ag  0.750  0.867  0.367


A plane-wave DFT calculation with PBE was carried out for a relaxed La4MgAg2 crystal.

Results
Formation energy from the elements = -14.7 meV/atom

Unit cell a=5.427 b=5.427 c=9.426 alpha=73.27 beta=73.27 gamma=60.00
Positions (direct):
La  0.377  0.377  0.868
La  0.216  0.216  0.352
La  0.784  0.784  0.648
La  0.623  0.623  0.132
Mg  0.000  0.000  0.000
Ag  0.100  0.100  0.701
Ag  0.900  0.900  0.299


A plane-wave DFT calculation with PBE was carried out for a relaxed LaMg2Ag crystal.

Results
Formation energy from the elements = -110.5 meV/atom

Unit cell a=4.666 b=3.392 c=6.698 alpha=75.15 beta=90.00 gamma=90.00
Positions (direct):
Ag  0.000  0.325  0.477
La  0.500  0.703  0.719
Mg  0.000  0.030  0.063
Mg  0.500  0.442  0.241


A plane-wave DFT calculation with PBE was carried out for a relaxed LaMg2Ag crystal.

Results
Formation energy from the elements = -115.7 meV/atom

Unit cell a=5.142 b=5.142 c=5.142 alpha=60.00 beta=60.00 gamma=60.00
Positions (direct):
Mg  0.250  0.250  0.250
Mg  0.750  0.750  0.750
Ag  0.000  0.000  0.000
La  0.500  0.500  0.500


A plane-wave DFT calculation with PBE was carried out for a relaxed LaMg6Ag2 crystal.

Results
Formation energy from the elements = -150.2 meV/atom

Unit cell a=4.440 b=4.440 c=10.855 alpha=90.00 beta=90.00 gamma=90.00
Positions (direct):
La  0.000  0.000  0.000
Mg  0.000  0.500  0.285
Mg  0.500  0.000  0.285
Mg  0.000  0.500  0.715
Mg  0.500  0.000  0.715
Mg  0.500  0.500  0.500
Mg  0.000  0.000  0.500
Ag  0.500  0.500  0.128
Ag  0.500  0.500  0.872


A plane-wave DFT calculation with PBE was carried out for a relaxed La2MgAg2 crystal.

Results
Formation energy from the elements = -24.6 meV/atom

Unit cell a=9.051 b=9.051 c=3.501 alpha=90.00 beta=90.00 gamma=90.00
Positions (direct):
Mg  0.000  0.000  0.000
Mg  0.500  0.500  0.000
Ag  0.124  0.624  0.500
Ag  0.624  0.876  0.500
Ag  0.876  0.376  0.500
Ag  0.376  0.124  0.500
La  0.332  0.832  0.000
La  0.832  0.668  0.000
La  0.668  0.168  0.000
La  0.168  0.332  0.000


A plane-wave DFT calculation with PBE was carried out for a relaxed LaMgAg3 crystal.

Results
Formation energy from the elements = 88.0 meV/atom

Unit cell a=5.016 b=5.016 c=5.016 alpha=90.00 beta=90.00 gamma=90.00
Positions (direct):
Mg  0.000  0.000  0.000
Ag  0.000  0.500  0.000
Ag  0.000  0.000  0.500
Ag  0.500  0.000  0.000
La  0.500  0.500  0.500


A plane-wave DFT calculation with PBE was carried out for a relaxed LaMg10Ag2 crystal.

Results
Formation energy from the elements = -132.1 meV/atom

Unit cell a=5.703 b=7.770 c=7.765 alpha=82.26 beta=68.46 gamma=68.47
Positions (direct):
La  0.000  0.000  0.000
Mg  0.349  0.639  0.663
Mg  0.651  0.361  0.337
Mg  0.988  0.361  0.663
Mg  0.012  0.639  0.337
Mg  0.000  0.000  0.500
Mg  0.500  0.000  0.500
Mg  0.286  0.223  0.206
Mg  0.714  0.777  0.794
Mg  0.508  0.777  0.206
Mg  0.492  0.223  0.794
Ag  0.000  0.500  0.000
Ag  0.500  0.500  0.000


A plane-wave DFT calculation with PBE was carried out for a relaxed LaMg4Ag8 crystal.

Results
Formation energy from the elements = -167.1 meV/atom

Unit cell a=5.687 b=7.365 c=7.365 alpha=81.43 beta=67.29 gamma=67.29
Positions (direct):
La  0.000  0.000  0.000
Mg  0.000  0.000  0.500
Mg  0.500  0.000  0.500
Mg  0.000  0.500  0.000
Mg  0.500  0.500  0.000
Ag  0.000  0.348  0.652
Ag  0.000  0.652  0.348
Ag  0.348  0.652  0.652
Ag  0.652  0.348  0.348
Ag  0.500  0.783  0.217
Ag  0.500  0.217  0.783
Ag  0.283  0.217  0.217
Ag  0.717  0.783  0.783